(1)
Computed, not measured: an optimized crystal structure of SrAs at the PBEsol level of DFT.

Computed properties:
**Symmetry**: P-62m (189)
**Energy relative to the elements**: -208.3 kJ/mol of formula units
**Magnetization**: 0.000 Bohr magnetons per cell
**VASP energy**: -54.63 eV/cell

Cell: 6.1124 8.2416 8.2416 Å, 120.00 90.00 90.00°
Last column: nearest neighbours and their distance in Å.
Positions (direct):
Sr 0.0000 0.6871 0.6871  6 As 3.11-3.15
Sr 0.5000 0.0000 0.6472  6 As 3.17-3.20
Sr 0.0000 0.3129 0.0000  6 As 3.11-3.15
Sr 0.5000 0.3528 0.3528  6 As 3.17-3.20
Sr 0.5000 0.6472 0.0000  6 As 3.17-3.20
Sr 0.0000 0.0000 0.3129  6 As 3.11-3.15
As 0.7896 0.3333 0.6667  1 As 2.57
As 0.7896 0.6667 0.3333  1 As 2.57
As 0.2104 0.6667 0.3333  1 As 2.57
As 0.7049 0.0000 0.0000  1 As 2.51
As 0.2104 0.3333 0.6667  1 As 2.57
As 0.2951 0.0000 0.0000  1 As 2.51

(2)
Computed, not measured: an optimized crystal structure of Sr3As2 at the PBEsol level of DFT.

Computed properties:
**Symmetry**: Fdd2 (43)
**Relative energy among the computed polymorphs**: 0.41 eV per formula unit
**Energy relative to the elements**: -491.7 kJ/mol of formula units
**Magnetization**: 0.000 Bohr magnetons per cell
**VASP energy**: -41.66 eV/cell

Cell: 7.7535 7.7535 7.9599 Å, 117.14 117.14 93.63°
Last column: nearest neighbours and their distance in Å.
Positions (direct):
As 0.7339 0.7825 0.0544  6 Sr 3.04-3.21
As 0.0220 0.5706 0.5544  6 Sr 3.04-3.21
As 0.2175 0.2661 0.9456  6 Sr 3.04-3.21
As 0.4294 0.9780 0.4456  6 Sr 3.04-3.21
Sr 0.0736 0.9264 0.0000  4 As 3.08-3.16
Sr 0.3629 0.3878 0.6840  4 As 3.04-3.21
Sr 0.0462 0.5712 0.1840  4 As 3.04-3.21
Sr 0.4288 0.9538 0.8160  4 As 3.04-3.21
Sr 0.8236 0.1764 0.5000  4 As 3.08-3.16
Sr 0.6122 0.6371 0.3160  4 As 3.04-3.21

(3)
Computed, not measured: an optimized crystal structure of Sr3As2 at the PBEsol level of DFT.

Computed properties:
**Symmetry**: P-3m1 (164)
**Relative energy among the computed polymorphs**: 0.00 eV per formula unit
**Energy relative to the elements**: -531.0 kJ/mol of formula units
**Magnetization**: 0.000 Bohr magnetons per cell
**VASP energy**: -21.24 eV/cell

Cell: 5.2082 5.2082 6.7354 Å, 90.00 90.00 120.00°
Last column: nearest neighbours and their distance in Å.
Positions (direct):
Sr 0.6667 0.3333 0.6856  4 As 3.08-3.17
Sr 0.3333 0.6667 0.3144  4 As 3.08-3.17
Sr 0.0000 0.0000 0.0000  6 As 3.34, 6 Sr 3.68
As 0.6667 0.3333 0.2144  7 Sr 3.08-3.34
As 0.3333 0.6667 0.7856  7 Sr 3.08-3.34

(4)
Computed, not measured: an optimized crystal structure of SrAs at the PBEsol level of DFT.

Computed properties:
**Symmetry**: C2/m (12)
**Energy relative to the elements**: -192.5 kJ/mol of formula units
**Magnetization**: 0.000 Bohr magnetons per cell
**VASP energy**: -17.88 eV/cell

Cell: 4.3341 4.6371 6.0583 Å, 99.27 110.96 90.00°
Last column: nearest neighbours and their distance in Å.
Positions (direct):
As 0.4084 0.3028 0.8168  1 As 2.52
As 0.5916 0.6972 0.1832  1 As 2.52
Sr 0.8703 0.7577 0.7407  7 As 3.11-3.36, 1 Sr 3.37
Sr 0.1297 0.2423 0.2593  7 As 3.11-3.36, 1 Sr 3.37

(5)
Computed, not measured: an optimized crystal structure of Sr3As at the PBEsol level of DFT.

Computed properties:
**Symmetry**: I4/mmm (139)
**Relative energy among the computed polymorphs**: 0.85 eV per formula unit
**Energy relative to the elements**: -150.9 kJ/mol of formula units
**Magnetization**: 0.000 Bohr magnetons per cell
**VASP energy**: -24.38 eV/cell

Cell: 4.9406 4.9406 12.3341 Å, 101.55 101.55 90.00°
Last column: nearest neighbours and their distance in Å.
Positions (direct):
Sr 0.1196 0.1196 0.2391  4 As 3.54, 8 Sr 3.76-3.95
Sr 0.0000 0.5000 0.0000  4 As 3.34, 4 Sr 3.49
Sr 0.8804 0.8804 0.7609  4 As 3.54, 8 Sr 3.76-3.95
Sr 0.5000 0.0000 0.0000  4 As 3.34, 4 Sr 3.49
Sr 0.2500 0.7500 0.5000  4 Sr 3.49
Sr 0.7500 0.2500 0.5000  4 Sr 3.49
As 0.4050 0.4050 0.8100  8 Sr 3.34-3.54
As 0.5950 0.5950 0.1900  8 Sr 3.34-3.54

(6)
Computed, not measured: an optimized crystal structure of Sr4As3 at the PBEsol level of DFT.

Computed properties:
**Symmetry**: Pbam (55)
**Energy relative to the elements**: -770.7 kJ/mol of formula units
**Magnetization**: 0.001 Bohr magnetons per cell
**VASP energy**: -245.35 eV/cell

Cell: 10.9022 12.0730 12.6711 Å, 90.00 90.00 90.00°
Last column: nearest neighbours and their distance in Å.
Positions (direct):
As 0.7661 0.3372 0.6775  6 Sr 2.99-3.33
As 0.2339 0.3372 0.6775  6 Sr 2.99-3.33
As 0.1170 0.0000 0.5000  1 As 2.55
As 0.2339 0.1628 0.1775  6 Sr 2.99-3.33
As 0.8830 0.5000 0.0000  1 As 2.55
As 0.8830 0.0000 0.5000  1 As 2.55
As 0.5000 0.4620 0.0932  1 As 2.53
As 0.5000 0.3651 0.3856  6 Sr 3.07-3.16
As 0.2339 0.6628 0.3225  6 Sr 2.99-3.33
As 0.0000 0.6386 0.6436  7 Sr 3.19-3.47
As 0.5000 0.9620 0.4068  1 As 2.53
As 0.5000 0.5380 0.9068  1 As 2.53
As 0.7661 0.8372 0.8225  6 Sr 2.99-3.33
As 0.7661 0.6628 0.3225  6 Sr 2.99-3.33
As 0.5000 0.8651 0.1144  6 Sr 3.07-3.16
As 0.0000 0.3614 0.3564  7 Sr 3.19-3.47
As 0.1170 0.5000 0.0000  1 As 2.55
As 0.2339 0.8372 0.8225  6 Sr 2.99-3.33
As 0.5000 0.0380 0.5932  1 As 2.53
As 0.5000 0.6349 0.6144  6 Sr 3.07-3.16
As 0.5000 0.1349 0.8856  6 Sr 3.07-3.16
As 0.0000 0.1386 0.8564  7 Sr 3.19-3.47
As 0.0000 0.8614 0.1436  7 Sr 3.19-3.47
As 0.7661 0.1628 0.1775  6 Sr 2.99-3.33
Sr 0.7250 0.5947 0.7644  5 As 3.05-3.41
Sr 0.0000 0.3981 0.7932  5 As 3.03-3.23
Sr 0.2750 0.5947 0.7644  5 As 3.05-3.41
Sr 0.8149 0.0000 0.0000  4 As 3.03-3.19
Sr 0.8149 0.5000 0.5000  4 As 3.03-3.19
Sr 0.0000 0.6019 0.2068  5 As 3.03-3.23
Sr 0.0000 0.2261 0.5774  5 As 3.15-3.24, 1 Sr 3.43
Sr 0.1851 0.0000 0.0000  4 As 3.03-3.19
Sr 0.7250 0.4053 0.2356  5 As 3.05-3.41
Sr 0.2750 0.4053 0.2356  5 As 3.05-3.41
Sr 0.0000 0.8981 0.7068  5 As 3.03-3.23
Sr 0.6779 0.1746 0.4335  5 As 3.07-3.39
Sr 0.3221 0.8254 0.5665  5 As 3.07-3.39
Sr 0.5000 0.1256 0.1348  4 As 2.99-3.16
Sr 0.2750 0.9053 0.2644  5 As 3.05-3.41
Sr 0.3221 0.6746 0.0665  5 As 3.07-3.39
Sr 0.7250 0.0947 0.7356  5 As 3.05-3.41
Sr 0.1851 0.5000 0.5000  4 As 3.03-3.19
Sr 0.6779 0.6746 0.0665  5 As 3.07-3.39
Sr 0.0000 0.2739 0.0774  5 As 3.15-3.24, 1 Sr 3.43
Sr 0.6779 0.3254 0.9335  5 As 3.07-3.39
Sr 0.0000 0.7739 0.4226  5 As 3.15-3.24, 1 Sr 3.43
Sr 0.5000 0.8744 0.8652  4 As 2.99-3.16
Sr 0.0000 0.7261 0.9226  5 As 3.15-3.24, 1 Sr 3.43
Sr 0.5000 0.6256 0.3652  4 As 2.99-3.16
Sr 0.0000 0.1019 0.2932  5 As 3.03-3.23
Sr 0.2750 0.0947 0.7356  5 As 3.05-3.41
Sr 0.5000 0.3744 0.6348  4 As 2.99-3.16
Sr 0.3221 0.3254 0.9335  5 As 3.07-3.39
Sr 0.6779 0.8254 0.5665  5 As 3.07-3.39
Sr 0.3221 0.1746 0.4335  5 As 3.07-3.39
Sr 0.7250 0.9053 0.2644  5 As 3.05-3.41

(7)
Computed, not measured: an optimized crystal structure of Sr5As4 at the PBEsol level of DFT.

Computed properties:
**Symmetry**: I4/mmm (139)
**Energy relative to the elements**: -391.5 kJ/mol of formula units
**Magnetization**: 0.014 Bohr magnetons per cell
**VASP energy**: -33.68 eV/cell

Cell: 5.1651 7.8475 7.8475 Å, 83.78 70.79 70.79°
Last column: nearest neighbours and their distance in Å.
Positions (direct):
Sr 0.3135 0.3731 0.0000  2 Sr 3.19, 6 As 3.31-3.37
Sr 0.6865 0.0000 0.6269  2 Sr 3.19, 6 As 3.31-3.37
Sr 0.0000 0.0000 0.0000  4 As 2.87
Sr 0.3135 0.0000 0.3731  2 Sr 3.19, 6 As 3.31-3.37
Sr 0.6865 0.6269 0.0000  2 Sr 3.19, 6 As 3.31-3.37
As 0.0000 0.2738 0.7262  1 Sr 2.87
As 0.2738 0.7262 0.7262  1 Sr 2.87
As 0.0000 0.7262 0.2738  1 Sr 2.87
As 0.7262 0.2738 0.2738  1 Sr 2.87

(8)
Computed, not measured: an optimized crystal structure of SrAs3 at the PBEsol level of DFT.

Computed properties:
**Symmetry**: C2/m (12)
**Energy relative to the elements**: -234.7 kJ/mol of formula units
**Magnetization**: 0.000 Bohr magnetons per cell
**VASP energy**: -39.18 eV/cell

Cell: 5.8004 6.1134 6.1134 Å, 103.31 107.72 72.28°
Last column: nearest neighbours and their distance in Å.
Positions (direct):
As 0.6970 0.4107 0.1347  2 As 2.47-2.48
As 0.7198 0.9927 0.0073  3 As 2.47-2.50
As 0.2802 0.0073 0.9927  3 As 2.47-2.50
As 0.3030 0.1347 0.4107  2 As 2.47-2.48
As 0.3030 0.5893 0.8653  2 As 2.47-2.48
As 0.6970 0.8653 0.5893  2 As 2.47-2.48
Sr 0.1693 0.6646 0.3354  9 As 3.10-3.44
Sr 0.8308 0.3354 0.6646  9 As 3.10-3.44

(9)
Computed, not measured: an optimized crystal structure of SrAs4 at the PBEsol level of DFT.

Computed properties:
**Symmetry**: C2/m (12)
**Energy relative to the elements**: -148.7 kJ/mol of formula units
**Magnetization**: 0.000 Bohr magnetons per cell
**VASP energy**: -23.81 eV/cell

Cell: 5.0698 5.0698 5.9138 Å, 115.22 115.22 90.11°
Last column: nearest neighbours and their distance in Å.
Positions (direct):
Sr 0.0000 0.0000 0.0000  10 As 3.16-3.47
As 0.2502 0.7498 0.5000  4 As 2.65-2.66
As 0.7498 0.2502 0.5000  4 As 2.65-2.66
As 0.6652 0.6652 0.3308  4 As 2.65-2.66
As 0.3348 0.3348 0.6692  4 As 2.65-2.66

(10)
Computed, not measured: an optimized crystal structure of SrAs3 at the PBEsol level of DFT.

Computed properties:
**Symmetry**: P-6m2 (187)
**Energy relative to the elements**: -90.5 kJ/mol of formula units
**Magnetization**: 0.000 Bohr magnetons per cell
**VASP energy**: -18.10 eV/cell

Cell: 4.3639 4.3639 6.2207 Å, 90.00 90.00 120.00°
Last column: nearest neighbours and their distance in Å.
Positions (direct):
As 0.0000 0.0000 0.7945  4 As 2.56-2.83
As 0.0000 0.0000 0.2055  4 As 2.56-2.83
As 0.3333 0.6667 0.0000  6 As 2.83, 2 Sr 3.11
Sr 0.3333 0.6667 0.5000  8 As 3.11-3.12

(11)
Computed, not measured: an optimized crystal structure of Sr3As at the PBEsol level of DFT.

Computed properties:
**Symmetry**: R-3m (166)
**Relative energy among the computed polymorphs**: 0.00 eV per formula unit
**Energy relative to the elements**: -232.5 kJ/mol of formula units
**Magnetization**: 0.002 Bohr magnetons per cell
**VASP energy**: -13.04 eV/cell

Cell: 4.4358 4.4358 11.1606 Å, 78.54 78.54 60.00°
Last column: nearest neighbours and their distance in Å.
Positions (direct):
Sr 0.2838 0.2838 0.1487  3 As 3.03
Sr 0.5000 0.5000 0.5000  12 Sr 4.44-4.60
Sr 0.7162 0.7162 0.8513  3 As 3.03
As 0.0000 0.0000 0.0000  6 Sr 3.03

(12)
Computed, not measured: an optimized crystal structure of SrTaAs3 at the PBEsol level of DFT.

Computed properties:
**Symmetry**: Pm-3m (221)
**Energy relative to the elements**: -196.2 kJ/mol of formula units
**Magnetization**: 0.000 Bohr magnetons per cell
**VASP energy**: -31.74 eV/cell

Cell: 4.9983 4.9983 4.9983 Å, 90.00 90.00 90.00°
Last column: nearest neighbours and their distance in Å.
Positions (direct):
As 0.0000 0.5000 0.0000  2 Ta 2.50
As 0.0000 0.0000 0.5000  2 Ta 2.50
As 0.5000 0.0000 0.0000  2 Ta 2.50
Sr 0.5000 0.5000 0.5000  12 As 3.53
Ta 0.0000 0.0000 0.0000  6 As 2.50